Record 1
DFT (SCAN) results for a crystal of WSeNO2 relaxed with PBEsol.

```
data_WSeNO2
_chemical_formula_sum 'W1 Se1 N1 O2'
_space_group_name_H-M_alt 'P 4/m m m'
_space_group_IT_number 123
_space_group_name_Hall '-P 4 2'
_cell_length_a 3.755
_cell_length_b 3.755
_cell_length_c 4.131
_cell_angle_alpha 90.00
_cell_angle_beta 90.00
_cell_angle_gamma 90.00
loop_
_atom_site_label
_atom_site_fract_x
_atom_site_fract_y
_atom_site_fract_z
W1 0.000 0.000 0.000
Se1 0.500 0.500 0.500
N1 0.500 0.500 0.000
O1 0.000 0.500 0.500
```

Summary:
The total energy comes out at -21.18 eV/atom. The density of states at the Fermi level is 2.3 states/eV per cell. The value obtained for the uncorrected formation energy is 1126 meV/atom.

Record 2
DFT (SCAN) results for a crystal of WSeN2O relaxed with PBEsol.

```
data_WSeN2O
_chemical_formula_sum 'W1 Se1 N2 O1'
_space_group_name_H-M_alt 'P 4/m m m'
_space_group_IT_number 123
_space_group_name_Hall '-P 4 2'
_cell_length_a 4.026
_cell_length_b 4.026
_cell_length_c 3.770
_cell_angle_alpha 90.00
_cell_angle_beta 90.00
_cell_angle_gamma 90.00
loop_
_atom_site_label
_atom_site_fract_x
_atom_site_fract_y
_atom_site_fract_z
W1 0.000 0.000 0.000
Se1 0.500 0.500 0.500
N1 0.000 0.500 0.000
O1 0.000 0.000 0.500
```

Summary:
The total energy comes out at -22.63 eV/atom. The density of states at the Fermi level is 2.4 states/eV per cell. The value obtained for the uncorrected formation energy is 283 meV/atom.

Record 3
DFT (SCAN) results for a crystal of SiN2O2 relaxed with PBEsol.

```
data_SiN2O2
_chemical_formula_sum 'Si1 N2 O2'
_space_group_name_H-M_alt 'P 4/m m m'
_space_group_IT_number 123
_space_group_name_Hall '-P 4 2'
_cell_length_a 3.651
_cell_length_b 3.651
_cell_length_c 3.324
_cell_angle_alpha 90.00
_cell_angle_beta 90.00
_cell_angle_gamma 90.00
loop_
_atom_site_label
_atom_site_fract_x
_atom_site_fract_y
_atom_site_fract_z
Si1 0.000 0.000 0.000
N1 0.000 0.500 0.000
O1 0.000 0.000 0.500
O2 0.500 0.500 0.500
```

Summary:
The total energy comes out at -7.49 eV/atom. The density of states at the Fermi level is 2.4 states/eV per cell. The value obtained for the uncorrected formation energy is 726 meV/atom.

Record 4
DFT (SCAN) results for a crystal of SiSnNO2 relaxed with PBEsol.

```
data_SiSnNO2
_chemical_formula_sum 'Si1 Sn1 N1 O2'
_space_group_name_H-M_alt 'P 4/m m m'
_space_group_IT_number 123
_space_group_name_Hall '-P 4 2'
_cell_length_a 3.987
_cell_length_b 3.987
_cell_length_c 4.143
_cell_angle_alpha 90.00
_cell_angle_beta 90.00
_cell_angle_gamma 90.00
loop_
_atom_site_label
_atom_site_fract_x
_atom_site_fract_y
_atom_site_fract_z
Si1 0.000 0.000 0.000
Sn1 0.500 0.500 0.500
N1 0.500 0.500 0.000
O1 0.000 0.500 0.500
```

Summary:
The total energy comes out at -13.40 eV/atom. The density of states at the Fermi level is 1.6 states/eV per cell. The value obtained for the uncorrected formation energy is 138 meV/atom.

Record 5
DFT (SCAN) results for a crystal of SrSiNO2 relaxed with PBEsol.

```
data_SrSiNO2
_chemical_formula_sum 'Sr1 Si1 N1 O2'
_space_group_name_H-M_alt 'P 4/m m m'
_space_group_IT_number 123
_space_group_name_Hall '-P 4 2'
_cell_length_a 4.437
_cell_length_b 4.437
_cell_length_c 4.672
_cell_angle_alpha 90.00
_cell_angle_beta 90.00
_cell_angle_gamma 90.00
loop_
_atom_site_label
_atom_site_fract_x
_atom_site_fract_y
_atom_site_fract_z
Sr1 0.000 0.000 0.000
Si1 0.500 0.500 0.500
N1 0.000 0.000 0.500
O1 0.000 0.500 0.000
```

Summary:
The total energy comes out at -10.02 eV/atom. The density of states at the Fermi level is 2.8 states/eV per cell. The value obtained for the uncorrected formation energy is 786 meV/atom.

Record 6
DFT (SCAN) results for a crystal of TiSiNO2 relaxed with PBEsol.

```
data_TiSiNO2
_chemical_formula_sum 'Ti1 Si1 N1 O2'
_space_group_name_H-M_alt 'P 4/m m m'
_space_group_IT_number 123
_space_group_name_Hall '-P 4 2'
_cell_length_a 3.759
_cell_length_b 3.759
_cell_length_c 4.037
_cell_angle_alpha 90.00
_cell_angle_beta 90.00
_cell_angle_gamma 90.00
loop_
_atom_site_label
_atom_site_fract_x
_atom_site_fract_y
_atom_site_fract_z
Ti1 0.000 0.000 0.000
Si1 0.500 0.500 0.500
N1 0.000 0.000 0.500
O1 0.000 0.500 0.000
```

Summary:
The total energy comes out at -10.51 eV/atom. The density of states at the Fermi level is 2.4 states/eV per cell. The value obtained for the uncorrected formation energy is -946 meV/atom.

Record 7
DFT (SCAN) results for a crystal of ZrSiNO2 relaxed with PBEsol.

```
data_ZrSiNO2
_chemical_formula_sum 'Zr1 Si1 N1 O2'
_space_group_name_H-M_alt 'P 4/m m m'
_space_group_IT_number 123
_space_group_name_Hall '-P 4 2'
_cell_length_a 4.040
_cell_length_b 4.040
_cell_length_c 4.274
_cell_angle_alpha 90.00
_cell_angle_beta 90.00
_cell_angle_gamma 90.00
loop_
_atom_site_label
_atom_site_fract_x
_atom_site_fract_y
_atom_site_fract_z
Zr1 0.000 0.000 0.000
Si1 0.500 0.500 0.500
N1 0.000 0.000 0.500
O1 0.000 0.500 0.000
```

Summary:
The total energy comes out at -13.45 eV/atom. The density of states at the Fermi level is 0.9 states/eV per cell. The value obtained for the uncorrected formation energy is -952 meV/atom.

Record 8
DFT (SCAN) results for a crystal of TaSnNO2 relaxed with PBEsol.

```
data_TaSnNO2
_chemical_formula_sum 'Ta1 Sn1 N1 O2'
_space_group_name_H-M_alt 'P 4/m m m'
_space_group_IT_number 123
_space_group_name_Hall '-P 4 2'
_cell_length_a 3.978
_cell_length_b 3.978
_cell_length_c 4.137
_cell_angle_alpha 90.00
_cell_angle_beta 90.00
_cell_angle_gamma 90.00
loop_
_atom_site_label
_atom_site_fract_x
_atom_site_fract_y
_atom_site_fract_z
Ta1 0.000 0.000 0.000
Sn1 0.500 0.500 0.500
N1 0.000 0.000 0.500
O1 0.000 0.500 0.000
```

Summary:
The total energy comes out at -26.38 eV/atom. The density of states at the Fermi level is 0.0 states/eV per cell. The value obtained for the uncorrected formation energy is -1532 meV/atom.